Entry 1:
This record from OQMD via LeMat-Bulk describes an optimized crystal structure of Tb3Si2Ag4Ge2. The functional is PBE.

Calculated values
Volume, Å³ per atom: 20.18
Energy, eV/cell: -102.0

Lattice parameters (Å, degrees): 4.341 7.104 14.394 90.00 90.00 90.00
Space group Immm (No. 71)
Inequivalent atoms, fractional coordinates:
Tb (0.000, 0.000, 0.000)
Tb (0.000, 0.500, 0.126)
Si (0.000, 0.173, 0.500)
Ag (0.000, 0.303, 0.336)
Ge (0.000, 0.000, 0.217)

=====

Entry 2:
This record from OQMD via LeMat-Bulk describes an optimized crystal structure of HoBeIr. The functional is PBE.

Calculated values
Volume, Å³ per atom: 17.44
Distance to the lowest polymorph of the same formula, eV per atom: 0.000
Energy, eV/cell: -72.2

Lattice parameters (Å, degrees): 5.937 5.937 5.937 90.00 90.00 90.00
Space group F-43m (No. 216)
Inequivalent atoms, fractional coordinates:
Ho (0.000, 0.000, 0.000)
Be (0.250, 0.250, 0.250)
Ir (0.000, 0.000, 0.500)

=====

Entry 3:
This record from OQMD via LeMat-Bulk describes an optimized crystal structure of HfAgNO. The functional is PBE.

Calculated values
Volume, Å³ per atom: 12.09
Distance to the lowest polymorph of the same formula, eV per atom: 0.480
Energy, eV/cell: -59.9

Lattice parameters (Å, degrees): 3.478 3.478 7.999 90.00 90.00 90.00
Space group P4/nmm (No. 129, origin choice 2)
Inequivalent atoms, fractional coordinates:
Hf (0.250, 0.250, 0.157)
Ag (0.250, 0.750, 0.500)
N (0.250, 0.250, 0.738)
O (0.250, 0.750, 0.000)

=====

Entry 4:
This record from OQMD via LeMat-Bulk describes an optimized crystal structure of Hf2GeW. The functional is PBE.

Calculated values
Volume, Å³ per atom: 18.01
Energy, eV/cell: -148.0

Lattice parameters (Å, degrees): 6.605 6.605 6.605 90.00 90.00 90.00
Space group F-43m (No. 216)
Inequivalent atoms, fractional coordinates:
Hf (0.000, 0.000, 0.000)
Hf (0.250, 0.250, 0.250)
Ge (0.000, 0.000, 0.500)
W (0.250, 0.250, 0.750)